# Na2ZnSb2 | the Alexandria database | GGA-PBE | optimized geometry
# symmetry = P4/mbm
# total energy = -2.413 eV/atom
# relative energy among the computed polymorphs = 0.3113 eV per atom
# formation energy (no corrections) = 18.4 meV/atom
# magnetization = 0.00 μB per formula unit
data_Na2ZnSb2
_chemical_formula_sum 'Na4 Zn2 Sb4'
_space_group_name_H-M_alt 'P 1'
_space_group_IT_number 1
_space_group_name_Hall 'P 1'
_cell_length_a 9.452
_cell_length_b 9.452
_cell_length_c 3.078
_cell_angle_alpha 90.00
_cell_angle_beta 90.00
_cell_angle_gamma 90.00
loop_
_atom_site_label
_atom_site_type_symbol
_atom_site_fract_x
_atom_site_fract_y
_atom_site_fract_z
Sb1 Sb 0.175 0.675 0.500
Sb2 Sb 0.675 0.825 0.500
Sb3 Sb 0.825 0.325 0.500
Sb4 Sb 0.325 0.175 0.500
Zn1 Zn 0.000 0.000 0.000
Zn2 Zn 0.500 0.500 0.000
Na1 Na 0.376 0.876 0.000
Na2 Na 0.876 0.624 0.000
Na3 Na 0.624 0.124 0.000
Na4 Na 0.124 0.376 0.000